[1]
! SCAN SrSnAu, PBEsol geometry; values from VASP
! * ρ: 8.8 Mg/m³
! * space-group type: Pnma
! * energy of formation: -0.90 eV/atom
&SYSTEM
  ibrav = 0, nat = 12, ntyp = 3
/
ATOMIC_SPECIES
Sr 87.62 Sr.upf
Au 196.97 Au.upf
Sn 118.71 Sn.upf
CELL_PARAMETERS angstrom
4.782 0.000 0.000
0.000 7.738 0.000
0.000 0.000 8.208
ATOMIC_POSITIONS crystal
Sr 0.250 0.008 0.301
Sr 0.750 0.992 0.699
Sr 0.250 0.508 0.199
Sr 0.750 0.492 0.801
Au 0.750 0.198 0.088
Au 0.750 0.698 0.412
Au 0.250 0.302 0.588
Au 0.250 0.802 0.912
Sn 0.250 0.683 0.586
Sn 0.750 0.817 0.086
Sn 0.750 0.317 0.414
Sn 0.250 0.183 0.914

=====

[2]
! SCAN CrAsRu, PBEsol geometry; values from VASP
! * ρ: 9.5 Mg/m³
! * space-group type: P3m1
! * energy of formation: 0.15 eV/atom
&SYSTEM
  ibrav = 0, nat = 3, ntyp = 3
/
ATOMIC_SPECIES
As 74.92 As.upf
Cr 52.00 Cr.upf
Ru 101.07 Ru.upf
CELL_PARAMETERS angstrom
2.765 0.000 0.000
-1.383 2.395 0.000
0.000 0.000 6.035
ATOMIC_POSITIONS crystal
As 0.000 0.000 0.990
Cr 0.667 0.333 0.662
Ru 0.333 0.667 0.348

=====

[3]
! SCAN K3Sb, PBEsol geometry; values from VASP
! * ρ: 2.7 Mg/m³
! * formation energy (no corrections): -491 meV/atom
! * space-group type: Pmmn
! * ΔE to the lowest computed polymorph: 0.0140 eV/atom
&SYSTEM
  ibrav = 0, nat = 8, ntyp = 2
/
ATOMIC_SPECIES
Sb 121.76 Sb.upf
K 39.10 K.upf
CELL_PARAMETERS angstrom
6.002 0.000 0.000
0.000 6.193 0.000
0.000 0.000 8.025
ATOMIC_POSITIONS crystal
Sb 0.000 0.285 0.000
Sb 0.500 0.715 0.500
K 0.500 0.656 0.000
K 0.000 0.344 0.500
K 0.000 0.794 0.753
K 0.000 0.794 0.247
K 0.500 0.206 0.253
K 0.500 0.206 0.747

=====

[4]
! SCAN CeCo4B, PBEsol geometry; values from VASP
! * ρ: 9.1 Mg/m³
! * space-group type: P6/mmm
! * energy of formation: -0.19 eV/atom
&SYSTEM
  ibrav = 0, nat = 12, ntyp = 3
/
ATOMIC_SPECIES
B 10.81 B.upf
Co 58.93 Co.upf
Ce 140.12 Ce.upf
CELL_PARAMETERS angstrom
-1.094 -1.165 -4.630
4.312 -1.327 1.906
-2.747 -5.871 2.127
ATOMIC_POSITIONS crystal
B 0.667 0.333 0.500
B 0.333 0.667 0.500
Co 0.333 0.667 0.000
Co 0.667 0.333 0.000
Co 0.000 0.500 0.712
Co 0.500 0.500 0.712
Co 0.500 0.000 0.712
Co 0.000 0.500 0.288
Co 0.500 0.500 0.288
Co 0.500 0.000 0.288
Ce 0.000 0.000 0.500
Ce 0.000 0.000 0.000

=====

[5]
! SCAN HfTi2SnSb, PBEsol geometry; values from VASP
! * ρ: 6.6 Mg/m³
! * formation energy (no corrections): 1007 meV/atom
! * space-group type: P4/mmm
&SYSTEM
  ibrav = 0, nat = 5, ntyp = 4
/
ATOMIC_SPECIES
Sb 121.76 Sb.upf
Hf 178.49 Hf.upf
Sn 118.71 Sn.upf
Ti 47.87 Ti.upf
CELL_PARAMETERS angstrom
-3.652 -3.177 -0.578
1.753 -1.218 -4.383
3.033 -3.904 2.297
ATOMIC_POSITIONS crystal
Sb 0.000 0.000 0.000
Hf 0.500 0.500 0.500
Sn 0.000 0.000 0.500
Ti 0.000 0.500 0.000
Ti 0.500 0.000 0.000

=====

[6]
! SCAN Mg2ScAg, PBEsol geometry; values from VASP
! * ρ: 4.1 Mg/m³
! * space-group type: P4/mmm
! * energy of formation: -0.15 eV/atom
&SYSTEM
  ibrav = 0, nat = 4, ntyp = 3
/
ATOMIC_SPECIES
Sc 44.96 Sc.upf
Mg 24.30 Mg.upf
Ag 107.87 Ag.upf
CELL_PARAMETERS angstrom
-2.611 1.195 1.497
-0.535 -2.886 1.370
4.405 2.052 6.044
ATOMIC_POSITIONS crystal
Sc 0.500 0.500 0.000
Mg 0.000 0.000 0.715
Mg 0.000 0.000 0.285
Ag 0.500 0.500 0.500

=====

[7]
! SCAN TcIrSeN2, PBEsol geometry; values from VASP
! * ρ: 9.7 Mg/m³
! * formation energy (no corrections): 2071 meV/atom
! * space-group type: P4/mmm
! * ΔE to the lowest computed polymorph: 0.9401 eV/atom
&SYSTEM
  ibrav = 0, nat = 5, ntyp = 4
/
ATOMIC_SPECIES
Ir 192.22 Ir.upf
Tc 98.00 Tc.upf
Se 78.96 Se.upf
N 14.01 N.upf
CELL_PARAMETERS angstrom
3.775 0.000 0.000
0.000 3.775 0.000
0.000 0.000 4.762
ATOMIC_POSITIONS crystal
Ir 0.000 0.000 0.500
Tc 0.500 0.500 0.500
Se 0.000 0.000 0.000
N 0.000 0.500 0.000
N 0.500 0.000 0.000

=====

[8]
! SCAN LiNi2Pt, PBEsol geometry; values from VASP
! * ρ: 11.3 Mg/m³
! * space-group type: Cmmm
! * energy of formation: -0.23 eV/atom
&SYSTEM
  ibrav = 0, nat = 4, ntyp = 3
/
ATOMIC_SPECIES
Ni 58.69 Ni.upf
Pt 195.08 Pt.upf
Li 6.94 Li.upf
CELL_PARAMETERS angstrom
-0.826 -2.192 1.117
3.765 -1.985 -1.109
0.381 1.874 3.960
ATOMIC_POSITIONS crystal
Ni 0.000 0.500 0.000
Ni 0.000 0.000 0.500
Pt 0.500 0.000 0.000
Li 0.500 0.500 0.500

=====

[9]
! SCAN AlSe2Br, PBEsol geometry; values from VASP
! * ρ: 4.4 Mg/m³
! * formation energy (no corrections): -293 meV/atom
! * space-group type: R3m
! * ΔE to the lowest computed polymorph: 0.3931 eV/atom
&SYSTEM
  ibrav = 0, nat = 4, ntyp = 3
/
ATOMIC_SPECIES
Br 79.90 Br.upf
Se 78.96 Se.upf
Al 26.98 Al.upf
CELL_PARAMETERS angstrom
-0.516 2.953 1.605
-2.246 2.235 -1.233
-8.132 -2.501 5.591
ATOMIC_POSITIONS crystal
Br 0.220 0.220 0.339
Se 0.000 0.000 0.999
Se 0.783 0.783 0.651
Al 0.496 0.496 0.511

=====

[10]
! SCAN CrCu2P, PBEsol geometry; values from VASP
! * ρ: 7.4 Mg/m³
! * space-group type: Amm2
! * energy of formation: -0.06 eV/atom
&SYSTEM
  ibrav = 0, nat = 4, ntyp = 3
/
ATOMIC_SPECIES
Cr 52.00 Cr.upf
Cu 63.55 Cu.upf
P 30.97 P.upf
CELL_PARAMETERS angstrom
-0.738 2.129 -1.633
0.073 -2.036 -2.687
-4.499 -2.195 1.541
ATOMIC_POSITIONS crystal
Cr 0.713 0.500 0.426
Cu 0.058 0.000 0.117
Cu 0.446 0.500 0.892
P 0.291 0.000 0.581

=====

[11]
! SCAN ZnAs2N, PBEsol geometry; values from VASP
! * ρ: 5.5 Mg/m³
! * formation energy (no corrections): 514 meV/atom
! * space-group type: I-42d
&SYSTEM
  ibrav = 0, nat = 8, ntyp = 3
/
ATOMIC_SPECIES
As 74.92 As.upf
Zn 65.41 Zn.upf
N 14.01 N.upf
CELL_PARAMETERS angstrom
5.151 0.000 0.000
0.000 5.151 0.000
-2.575 -2.575 5.196
ATOMIC_POSITIONS crystal
As 0.431 0.875 0.250
As 0.819 0.375 0.250
As 0.125 0.181 0.750
As 0.625 0.569 0.750
Zn 0.250 0.750 0.500
Zn 0.000 0.000 0.000
N 0.750 0.250 0.500
N 0.500 0.500 0.000

=====

[12]
! SCAN ScPaO4, PBEsol geometry; values from VASP
! * ρ: 8.0 Mg/m³
! * formation energy (no corrections): -3892 meV/atom
! * space-group type: P4/mmm
&SYSTEM
  ibrav = 0, nat = 6, ntyp = 3
/
ATOMIC_SPECIES
Sc 44.96 Sc.upf
Pa 231.04 Pa.upf
O 16.00 O.upf
CELL_PARAMETERS angstrom
3.695 0.000 0.000
0.000 3.695 0.000
0.000 0.000 5.147
ATOMIC_POSITIONS crystal
Sc 0.000 0.000 0.000
Pa 0.500 0.500 0.500
O 0.500 0.000 0.752
O 0.000 0.500 0.248
O 0.500 0.000 0.248
O 0.000 0.500 0.752

=====

[13]
! SCAN Na4Ca4Be4AlSi7O24F4, PBEsol geometry; values from VASP
! * ρ: 2.9 Mg/m³
! * formation energy (no corrections): -3118 meV/atom
! * space-group type: I-4
&SYSTEM
  ibrav = 0, nat = 48, ntyp = 7
/
ATOMIC_SPECIES
Na 22.99 Na.upf
Ca 40.08 Ca.upf
Be 9.01 Be.upf
Al 26.98 Al.upf
Si 28.09 Si.upf
O 16.00 O.upf
F 19.00 F.upf
CELL_PARAMETERS angstrom
-3.233 7.321 -3.990
-1.560 -7.482 -4.644
-4.069 -0.810 7.922
ATOMIC_POSITIONS crystal
Na 0.337 0.012 0.847
Na 0.165 0.490 0.153
Na 0.510 0.663 0.675
Na 0.988 0.835 0.325
Ca 0.664 0.012 0.164
Ca 0.848 0.500 0.836
Ca 0.500 0.336 0.349
Ca 0.988 0.152 0.651
Be 0.277 0.923 0.143
Be 0.781 0.134 0.857
Be 0.866 0.723 0.646
Be 0.077 0.219 0.354
Al 0.500 0.500 0.000
Si 0.504 0.004 0.500
Si 0.996 0.496 0.500
Si 0.272 0.640 0.858
Si 0.782 0.414 0.142
Si 0.586 0.728 0.367
Si 0.360 0.218 0.633
Si 0.000 0.000 0.000
O 0.622 0.263 0.155
O 0.107 0.467 0.845
O 0.533 0.378 0.641
O 0.737 0.893 0.359
O 0.471 0.649 0.920
O 0.729 0.551 0.080
O 0.449 0.529 0.178
O 0.351 0.271 0.822
O 0.471 0.054 0.336
O 0.718 0.134 0.664
O 0.866 0.529 0.583
O 0.946 0.282 0.417
O 0.218 0.063 0.099
O 0.964 0.119 0.901
O 0.881 0.782 0.845
O 0.937 0.036 0.155
O 0.333 0.845 0.998
O 0.846 0.335 0.002
O 0.665 0.667 0.512
O 0.155 0.154 0.488
O 0.216 0.633 0.659
O 0.974 0.557 0.341
O 0.443 0.784 0.417
O 0.367 0.026 0.583
F 0.623 0.979 0.864
F 0.114 0.759 0.136
F 0.241 0.377 0.355
F 0.021 0.886 0.645

=====

[14]
! SCAN YCdIN2, PBEsol geometry; values from VASP
! * ρ: 5.8 Mg/m³
! * formation energy (no corrections): 989 meV/atom
! * space-group type: P4/mmm
&SYSTEM
  ibrav = 0, nat = 5, ntyp = 4
/
ATOMIC_SPECIES
I 126.90 I.upf
Y 88.91 Y.upf
N 14.01 N.upf
Cd 112.41 Cd.upf
CELL_PARAMETERS angstrom
-4.144 0.251 1.137
0.595 -3.156 2.867
1.271 3.706 3.816
ATOMIC_POSITIONS crystal
I 0.000 0.000 0.500
Y 0.500 0.500 0.500
N 0.000 0.500 0.000
N 0.500 0.000 0.000
Cd 0.000 0.000 0.000

=====

[15]
! SCAN Tb2FeCo3, PBEsol geometry; values from VASP
! * ρ: 10.4 Mg/m³
! * space-group type: R-3m
! * energy of formation: -0.13 eV/atom
&SYSTEM
  ibrav = 0, nat = 6, ntyp = 3
/
ATOMIC_SPECIES
Co 58.93 Co.upf
Tb 158.93 Tb.upf
Fe 55.84 Fe.upf
CELL_PARAMETERS angstrom
4.896 -0.031 -0.022
2.259 4.344 -0.022
2.259 1.362 4.125
ATOMIC_POSITIONS crystal
Co 0.000 0.500 0.000
Co 0.500 0.000 0.000
Co 0.000 0.000 0.500
Tb 0.627 0.627 0.627
Tb 0.373 0.373 0.373
Fe 0.000 0.000 0.000

=====

[16]
! SCAN CuAg2Pt, PBEsol geometry; values from VASP
! * ρ: 13.2 Mg/m³
! * space-group type: Cm
! * energy of formation: 0.02 eV/atom
! * ΔE to the lowest computed polymorph: 0.0492 eV/atom
&SYSTEM
  ibrav = 0, nat = 4, ntyp = 3
/
ATOMIC_SPECIES
Ag 107.87 Ag.upf
Cu 63.55 Cu.upf
Pt 195.08 Pt.upf
CELL_PARAMETERS angstrom
2.797 0.000 0.000
-1.399 4.562 -0.036
0.000 -0.986 4.688
ATOMIC_POSITIONS crystal
Ag 0.002 0.003 0.998
Ag 0.243 0.486 0.749
Cu 0.497 0.995 0.487
Pt 0.758 0.516 0.266

=====

[17]
! SCAN ScTl2Ir, PBEsol geometry; values from VASP
! * ρ: 13.2 Mg/m³
! * space-group type: Imm2
! * energy of formation: -0.07 eV/atom
&SYSTEM
  ibrav = 0, nat = 4, ntyp = 3
/
ATOMIC_SPECIES
Ir 192.22 Ir.upf
Sc 44.96 Sc.upf
Tl 204.38 Tl.upf
CELL_PARAMETERS angstrom
3.827 0.000 0.000
0.000 4.714 0.000
-1.914 -2.357 4.491
ATOMIC_POSITIONS crystal
Ir 0.521 0.521 0.042
Sc 0.221 0.721 0.442
Tl 0.994 0.994 0.988
Tl 0.764 0.264 0.528

=====

[18]
! SCAN BeReRu2W, PBEsol geometry; values from VASP
! * ρ: 14.5 Mg/m³
! * space-group type: P4/mmm
! * energy of formation: 0.52 eV/atom
&SYSTEM
  ibrav = 0, nat = 5, ntyp = 4
/
ATOMIC_SPECIES
Re 186.21 Re.upf
Be 9.01 Be.upf
W 183.84 W.upf
Ru 101.07 Ru.upf
CELL_PARAMETERS angstrom
3.990 0.000 0.000
0.000 3.990 0.000
0.000 0.000 4.176
ATOMIC_POSITIONS crystal
Re 0.500 0.500 0.500
Be 0.000 0.000 0.000
W 0.000 0.000 0.500
Ru 0.000 0.500 0.000
Ru 0.500 0.000 0.000

=====

[19]
! SCAN PHIrS2, PBEsol geometry; values from VASP
! * ρ: 4.8 Mg/m³
! * DFT total energy: -98.565 eV/cell
! * space-group type: P4/mmm
&SYSTEM
  ibrav = 0, nat = 5, ntyp = 4
/
ATOMIC_SPECIES
P 30.97 P.upf
S 32.06 S.upf
Ir 192.22 Ir.upf
H 1.01 H.upf
CELL_PARAMETERS angstrom
4.432 0.000 0.000
0.000 4.727 0.000
0.000 0.000 4.727
ATOMIC_POSITIONS crystal
P 0.500 0.000 0.000
S 0.000 0.000 0.500
S 0.000 0.500 0.000
Ir 0.000 0.000 0.000
H 0.500 0.500 0.500

=====

[20]
! SCAN TlZnRe, PBEsol geometry; values from VASP
! * ρ: 14.3 Mg/m³
! * space-group type: Fmm2
! * energy of formation: 0.82 eV/atom
! * ΔE to the lowest computed polymorph: 0.0000 eV/atom
&SYSTEM
  ibrav = 0, nat = 3, ntyp = 3
/
ATOMIC_SPECIES
Re 186.21 Re.upf
Tl 204.38 Tl.upf
Zn 65.41 Zn.upf
CELL_PARAMETERS angstrom
-0.778 -0.455 2.683
-0.609 -2.298 -1.537
7.019 -1.230 0.818
ATOMIC_POSITIONS crystal
Re 0.988 0.988 0.976
Tl 0.664 0.664 0.329
Zn 0.348 0.348 0.695

=====

[21]
! SCAN Tc2NiPb2, PBEsol geometry; values from VASP
! * ρ: 11.1 Mg/m³
! * space-group type: I4/mmm
! * energy of formation: 0.93 eV/atom
&SYSTEM
  ibrav = 0, nat = 5, ntyp = 3
/
ATOMIC_SPECIES
Pb 207.20 Pb.upf
Ni 58.69 Ni.upf
Tc 98.00 Tc.upf
CELL_PARAMETERS angstrom
-1.594 -4.907 0.267
1.371 1.874 -4.615
4.534 1.215 2.159
ATOMIC_POSITIONS crystal
Pb 0.500 0.750 0.250
Pb 0.500 0.250 0.750
Ni 0.000 0.000 0.000
Tc 0.000 0.651 0.651
Tc 0.000 0.349 0.349

=====

[22]
! SCAN Cd2MoW, PBEsol geometry; values from VASP
! * ρ: 12.1 Mg/m³
! * space-group type: P4mm
! * energy of formation: 0.48 eV/atom
! * ΔE to the lowest computed polymorph: 0.0000 eV/atom
&SYSTEM
  ibrav = 0, nat = 4, ntyp = 3
/
ATOMIC_SPECIES
Cd 112.41 Cd.upf
Mo 95.94 Mo.upf
W 183.84 W.upf
CELL_PARAMETERS angstrom
2.739 0.000 0.000
0.000 2.739 0.000
0.000 0.000 9.233
ATOMIC_POSITIONS crystal
Cd 0.000 0.000 0.991
Cd 0.500 0.500 0.260
Mo 0.000 0.000 0.505
W 0.500 0.500 0.745

=====

[23]
! SCAN LiZrAsBr2, PBEsol geometry; values from VASP
! * ρ: 5.3 Mg/m³
! * formation energy (no corrections): -216 meV/atom
! * space-group type: P4/mmm
&SYSTEM
  ibrav = 0, nat = 5, ntyp = 4
/
ATOMIC_SPECIES
As 74.92 As.upf
Br 79.90 Br.upf
Zr 91.22 Zr.upf
Li 6.94 Li.upf
CELL_PARAMETERS angstrom
-3.870 0.614 -2.085
-2.173 -1.094 3.712
0.000 5.088 1.499
ATOMIC_POSITIONS crystal
As 0.000 0.000 0.500
Br 0.000 0.500 0.000
Br 0.500 0.000 0.000
Zr 0.500 0.500 0.500
Li 0.000 0.000 0.000

=====

[24]
! SCAN Y2CrCdPd, PBEsol geometry; values from VASP
! * ρ: 5.5 Mg/m³
! * space-group type: P4/mmm
! * energy of formation: -0.05 eV/atom
&SYSTEM
  ibrav = 0, nat = 5, ntyp = 4
/
ATOMIC_SPECIES
Y 88.91 Y.upf
Cr 52.00 Cr.upf
Pd 106.42 Pd.upf
Cd 112.41 Cd.upf
CELL_PARAMETERS angstrom
-2.675 3.645 -1.891
-4.359 -2.206 1.913
0.571 2.726 4.446
ATOMIC_POSITIONS crystal
Y 0.000 0.000 0.500
Y 0.000 0.500 0.000
Cr 0.500 0.000 0.000
Pd 0.000 0.000 0.000
Cd 0.500 0.500 0.500

=====

[25]
! SCAN LiZr, PBEsol geometry; values from VASP
! * ρ: 4.1 Mg/m³
! * space-group type: Fd-3m
! * energy of formation: 0.49 eV/atom
! * ΔE to the lowest computed polymorph: 0.3869 eV/atom
&SYSTEM
  ibrav = 0, nat = 4, ntyp = 2
/
ATOMIC_SPECIES
Li 6.94 Li.upf
Zr 91.22 Zr.upf
CELL_PARAMETERS angstrom
-3.757 -3.007 0.367
-0.920 -2.212 4.190
-3.862 1.270 2.602
ATOMIC_POSITIONS crystal
Li 0.500 0.500 0.500
Li 0.750 0.750 0.750
Zr 0.000 0.000 0.000
Zr 0.250 0.250 0.250

=====

[26]
! SCAN CdPbSeBr2, PBEsol geometry; values from VASP
! * ρ: 5.4 Mg/m³
! * formation energy (no corrections): -87 meV/atom
! * space-group type: P4/mmm
&SYSTEM
  ibrav = 0, nat = 5, ntyp = 4
/
ATOMIC_SPECIES
Pb 207.20 Pb.upf
Se 78.96 Se.upf
Br 79.90 Br.upf
Cd 112.41 Cd.upf
CELL_PARAMETERS angstrom
5.495 0.000 0.000
0.000 5.566 0.000
0.000 0.000 5.566
ATOMIC_POSITIONS crystal
Pb 0.000 0.000 0.000
Se 0.500 0.000 0.000
Br 0.000 0.000 0.500
Br 0.000 0.500 0.000
Cd 0.500 0.500 0.500